Entry from the Alexandria database: a geometry-optimized Sm2Er12Th5 structure (PBE-GGA).

Cell: 7.021 9.923 10.169 Å, 68.50 90.00 110.72°
Element x y z (fractional)
Sm 0.286 0.000 0.000
Sm 0.714 0.000 0.000
Th 0.000 0.000 0.500
Th 0.188 0.376 0.818
Th 0.812 0.624 0.182
Th 0.319 0.638 0.211
Th 0.681 0.362 0.789
Er 0.597 0.685 0.863
Er 0.029 0.057 0.762
Er 0.083 0.668 0.516
Er 0.912 0.315 0.137
Er 0.498 0.995 0.327
Er 0.415 0.332 0.484
Er 0.088 0.685 0.863
Er 0.971 0.943 0.238
Er 0.585 0.668 0.516
Er 0.917 0.332 0.484
Er 0.502 0.005 0.673
Er 0.403 0.315 0.137

Summary:
Its energy above the most stable polymorph in this dataset is 56 meV/atom. Its energy relative to the elements is 0.22 eV per atom. As for the symmetry: No. 12. The crystal system is monoclinic.

=====

Entry from the Alexandria database: a geometry-optimized Sm5ErTh2 structure (PBE-GGA).

Cell: 3.536 11.325 8.919 Å, 129.37 101.46 90.02°
Element x y z (fractional)
Sm 0.629 0.392 0.260
Sm 0.000 0.500 0.000
Sm 0.372 0.132 0.740
Sm 0.628 0.868 0.260
Sm 0.371 0.608 0.740
Th 0.257 0.758 0.517
Th 0.743 0.242 0.483
Er 0.000 0.000 0.000

Summary:
Its energy relative to the elements is 0.10 eV per atom. As for the symmetry: No. 12. The crystal system is monoclinic.

=====

Entry from the Alexandria database: a geometry-optimized Sm2ErTh structure (PBE-GGA).

Cell: 5.084 5.056 5.056 Å, 90.00 90.00 90.00°
Element x y z (fractional)
Sm 0.000 0.000 0.500
Sm 0.000 0.500 0.000
Er 0.500 0.000 0.000
Th 0.500 0.500 0.500

Summary:
Its energy above the most stable polymorph in this dataset is 24 meV/atom. Its energy relative to the elements is 0.05 eV per atom. As for the symmetry: No. 123. The crystal system is tetragonal.

=====

Entry from the Alexandria database: a geometry-optimized Sm4ErTh structure (PBE-GGA).

Cell: 3.434 8.332 8.332 Å, 91.29 90.00 90.00°
Element x y z (fractional)
Th 0.500 0.000 0.000
Sm 0.500 0.733 0.267
Sm 0.000 0.238 0.238
Sm 0.000 0.762 0.762
Sm 0.500 0.267 0.733
Er 0.000 0.500 0.500

Summary:
Its energy above the most stable polymorph in this dataset is 627 meV/atom. Its energy relative to the elements is 0.66 eV per atom. As for the symmetry: No. 65. The crystal system is orthorhombic.

=====

Entry from the Alexandria database: a geometry-optimized Sm7ErTh2 structure (PBE-GGA).

Cell: 5.588 9.447 9.447 Å, 55.48 90.00 90.00°
Element x y z (fractional)
Sm 0.500 0.712 0.066
Sm 0.000 0.785 0.785
Sm 0.500 0.288 0.934
Sm 0.500 0.934 0.288
Sm 0.500 0.500 0.500
Sm 0.000 0.215 0.215
Sm 0.500 0.066 0.712
Er 0.000 0.000 0.000
Th 0.500 0.705 0.705
Th 0.500 0.295 0.295

Summary:
Its energy relative to the elements is 0.73 eV per atom. As for the symmetry: No. 65. The crystal system is orthorhombic.

=====

Entry from the Alexandria database: a geometry-optimized Sm3ErTh2 structure (PBE-GGA).

Cell: 3.605 10.123 10.757 Å, 90.31 90.00 90.00°
Element x y z (fractional)
Sm 0.750 0.623 0.250
Sm 0.750 0.637 0.917
Sm 0.750 0.132 0.584
Sm 0.250 0.868 0.416
Sm 0.250 0.363 0.083
Sm 0.250 0.377 0.750
Er 0.250 0.875 0.750
Er 0.750 0.125 0.250
Th 0.250 0.378 0.418
Th 0.750 0.117 0.918
Th 0.250 0.883 0.082
Th 0.750 0.622 0.582

Summary:
Its energy above the most stable polymorph in this dataset is 0 meV/atom. Its energy relative to the elements is 0.04 eV per atom. As for the symmetry: No. 11. The crystal system is monoclinic.

=====

Entry from the Alexandria database: a geometry-optimized Sm8Er2Th3 structure (PBE-GGA).

Cell: 5.701 7.877 10.769 Å, 111.45 90.04 90.00°
Element x y z (fractional)
Sm 0.500 0.186 0.785
Sm 0.999 0.130 0.259
Sm 0.500 0.599 0.785
Sm 0.500 0.814 0.215
Sm 0.001 0.670 0.340
Sm 0.999 0.330 0.660
Sm 0.001 0.870 0.741
Sm 0.500 0.401 0.215
Er 0.499 0.240 0.481
Er 0.501 0.760 0.519
Th 0.500 0.000 0.000
Th 0.000 0.708 0.000
Th 0.000 0.292 0.000

Summary:
Its energy relative to the elements is 0.26 eV per atom. As for the symmetry: No. 12. The crystal system is monoclinic.

=====

Entry from the Alexandria database: a geometry-optimized Sm14ErTh structure (PBE-GGA).

Cell: 7.232 7.232 10.247 Å, 90.00 90.00 90.00°
Element x y z (fractional)
Sm 0.123 0.877 0.247
Sm 0.875 0.625 0.000
Sm 0.627 0.373 0.247
Sm 0.375 0.125 0.000
Sm 0.375 0.625 0.500
Sm 0.627 0.877 0.753
Sm 0.123 0.877 0.753
Sm 0.875 0.125 0.500
Sm 0.627 0.373 0.753
Sm 0.875 0.625 0.500
Sm 0.123 0.373 0.753
Sm 0.123 0.373 0.247
Sm 0.627 0.877 0.247
Sm 0.375 0.125 0.500
Er 0.375 0.625 0.000
Th 0.875 0.125 0.000

Summary:
Its energy relative to the elements is 0.02 eV per atom. As for the symmetry: No. 123. The crystal system is tetragonal.

=====

- Look up the energy relative to the elements of the fourth one.
  0.66 eV per atom